! AgH2F4 PBE relaxed; values from VASP
&SYSTEM
  ibrav = 0, nat = 7, ntyp = 3
/
ATOMIC_SPECIES
F 19.00 F.upf
H 1.01 H.upf
Ag 107.87 Ag.upf
ATOMIC_POSITIONS crystal
F 0.640 0.901 0.279
F 0.876 0.584 0.753
F 0.360 0.099 0.721
F 0.124 0.416 0.247
H 0.269 0.245 0.538
H 0.731 0.755 0.462
Ag 0.000 0.000 0.000
CELL_PARAMETERS angstrom
4.609 0.000 -1.441
-0.110 3.474 -0.351
-0.831 1.685 5.435
! Magnetic moment, μB/f.u.: 0.00
! Electronic total energy, eV for the cell shown: -26.61
! Energy above the most stable polymorph in this dataset, eV/atom: 0.000



! Ag3H2F8 PBE relaxed; values from VASP
&SYSTEM
  ibrav = 0, nat = 13, ntyp = 3
/
ATOMIC_SPECIES
H 1.01 H.upf
F 19.00 F.upf
Ag 107.87 Ag.upf
ATOMIC_POSITIONS crystal
H 0.370 0.370 0.891
H 0.630 0.630 0.109
F 0.685 0.685 0.945
F 0.246 0.775 0.732
F 0.754 0.754 0.268
F 0.754 0.225 0.268
F 0.246 0.246 0.732
F 0.775 0.246 0.732
F 0.225 0.754 0.268
F 0.315 0.315 0.055
Ag 0.187 0.187 0.438
Ag 0.000 0.000 0.000
Ag 0.813 0.813 0.562
CELL_PARAMETERS angstrom
-0.691 -4.524 3.256
4.475 -2.590 2.195
0.939 1.089 6.557
! Magnetic moment, μB/f.u.: 3.13
! Electronic total energy, eV for the cell shown: -43.73